A plane-wave DFT calculation with SCAN was carried out for a crystal of Rb2SiN relaxed with PBEsol.

Formation energy without anion corrections: 0.149 eV per atom
Final energy: -0.553 hartree per atom
SG: I-42d, No. 122

Lattice parameters (Å, degrees): 3.5629 8.8814 8.8814 87.69 78.43 78.43
Last column: nearest neighbours and their distance in Å.
Positions (direct):
Rb1 0.8750 0.7321 0.7679  2 N 3.12, 2 Si 3.36
Rb2 0.3571 0.7679 0.2679  2 N 3.12, 2 Si 3.36
Rb3 0.3929 0.2321 0.7321  2 N 3.12, 2 Si 3.36
Rb4 0.3750 0.2679 0.2321  2 N 3.12, 2 Si 3.36
N1 0.5000 0.0000 0.0000  2 Si 1.78
N2 0.2500 0.5000 0.5000  2 Si 1.78
Si1 0.7500 0.5000 0.5000  2 N 1.78
Si2 0.0000 0.0000 0.0000  2 N 1.78